Record 1
Below is a relaxed ZrTe3Ir crystal, with properties calculated at the PBE-GGA level.

Cell: 5.1951 5.1951 5.1951 Å, 90.00 90.00 90.00°
Closest atoms and distances in Å follow each position.
Space group Pm-3m (No. 221)
Asymmetric unit:
1 Zr 0.0000 0.0000 0.0000 (multiplicity 1)  12 Te 3.67
2 Te 0.0000 0.5000 0.5000 (multiplicity 3)  2 Ir 2.60
3 Ir 0.5000 0.5000 0.5000 (multiplicity 1)  6 Te 2.60

Output
As for the formation energy without anion corrections: 0.4554 eV/atom. For the energy above the most stable polymorph in this dataset, the calculation gives 0 meV/atom.

=====

Record 2
Below is a relaxed KAs2Se crystal, with properties calculated at the PBE-GGA level.

Cell: 10.7952 3.6769 6.8174 Å, 90.00 121.85 90.00°
Closest atoms and distances in Å follow each position.
Space group Cm (No. 8)
Asymmetric unit:
1 K 0.0000 0.0000 0.0000 (multiplicity 2)  3 Se 3.25-3.38, 4 As 3.55-3.62
2 As 0.1159 0.0000 0.5934 (multiplicity 2)  2 As 2.55, 2 Se 2.81
3 As 0.4265 0.0000 0.3845 (multiplicity 2)  2 As 2.55, 2 Se 2.85
4 Se 0.2502 0.5000 0.4524 (multiplicity 2)  4 As 2.81-2.85

Output
As for the formation energy without anion corrections: -0.2495 eV/atom.

=====

Record 3
Below is a relaxed PrNd3Sc crystal, with properties calculated at the PBE-GGA level.

Cell: 20.1928 9.9921 6.6846 Å, 90.00 94.24 90.00°
Closest atoms and distances in Å follow each position.
Space group C2/c (No. 15)
Asymmetric unit:
1 Pr 0.0000 0.0985 0.2500 (multiplicity 4)  5 Pr 3.47-3.88, 4 Nd 3.68-3.83
2 Pr 0.0000 0.2492 0.7500 (multiplicity 4)  3 Pr 3.47-3.67, 8 Nd 3.50-3.84
3 Nd 0.0765 0.4395 0.3932 (multiplicity 8)  2 Sc 3.29-3.45, 4 Nd 3.44-3.55, 2 Pr 3.50-3.57
4 Nd 0.1529 0.1061 0.5843 (multiplicity 8)  3 Sc 3.35-3.59, 3 Nd 3.57-3.72, 2 Pr 3.65-3.68
5 Nd 0.1652 0.2502 0.0753 (multiplicity 8)  3 Sc 3.34-3.43, 6 Nd 3.44-3.74
6 Sc 0.2152 0.4378 0.6841 (multiplicity 8)  8 Nd 3.29-3.59, 2 Sc 3.57

Output
For the energy above the most stable polymorph in this dataset, the calculation gives 30 meV/atom.

=====

Record 4
Below is a relaxed Dy2Tl3In3 crystal, with properties calculated at the PBE-GGA level.

Cell: 4.6779 4.7009 9.4839 Å, 90.00 90.00 90.00°
Closest atoms and distances in Å follow each position.
Space group Pmmm (No. 47)
Asymmetric unit:
1 Dy 0.0000 0.0000 0.2479 (multiplicity 2)  6 Tl 3.32-3.35, 6 In 3.32-3.35
2 Tl 0.5000 0.0000 0.5000 (multiplicity 1)  4 In 3.32, 4 Dy 3.35, 4 Tl 3.36
3 Tl 0.5000 0.5000 0.2468 (multiplicity 2)  6 In 3.31-3.35, 4 Dy 3.32, 2 Tl 3.36
4 In 0.0000 0.5000 0.0000 (multiplicity 1)  4 Tl 3.31, 4 In 3.32, 4 Dy 3.32
5 In 0.0000 0.5000 0.5000 (multiplicity 1)  8 Tl 3.32-3.35, 4 Dy 3.35
6 In 0.5000 0.0000 0.0000 (multiplicity 1)  4 In 3.32, 4 Dy 3.32, 4 Tl 3.32

Output
Its total energy is -3.38 eV per atom.

=====

Record 5
Below is a relaxed LaNd3Ir crystal, with properties calculated at the PBE-GGA level.

Cell: 5.6503 5.6503 5.6503 Å, 90.00 90.00 90.00°
Closest atoms and distances in Å follow each position.
Space group Pm-3m (No. 221)
Asymmetric unit:
1 La 0.0000 0.0000 0.0000 (multiplicity 1)  12 Nd 4.00
2 Nd 0.0000 0.5000 0.5000 (multiplicity 3)  2 Ir 2.83
3 Ir 0.5000 0.5000 0.5000 (multiplicity 1)  6 Nd 2.83

Output
For the energy above the most stable polymorph in this dataset, the calculation gives 74 meV/atom.